Record 1
The following is a DFT calculation (GGA-PBE) of KNiAsRh2 after structural relaxation.

```
data_KNiAsRh2
_space_group_name_H-M_alt 'P 4/m m m'
_space_group_IT_number 123
_space_group_name_Hall '-P 4 2'
_cell_length_a 4.5883
_cell_length_b 4.5883
_cell_length_c 5.0656
_cell_angle_alpha 90.00
_cell_angle_beta 90.00
_cell_angle_gamma 90.00
loop_
_atom_site_label
_atom_site_type_symbol
_atom_site_fract_x
_atom_site_fract_y
_atom_site_fract_z
K1 K 0.0000 0.0000 0.0000
Ni1 Ni 0.0000 0.0000 0.5000
As1 As 0.5000 0.5000 0.0000
Rh1 Rh 0.0000 0.5000 0.5000
```

## Properties
ΔH_f (0 K): 1.064 eV/atom
size of the total moment: 2.1 μB per formula unit

***

Record 2
The following is a DFT calculation (GGA-PBE) of Er2ScHgO after structural relaxation.

```
data_Er2ScHgO
_space_group_name_H-M_alt 'P 4/m m m'
_space_group_IT_number 123
_space_group_name_Hall '-P 4 2'
_cell_length_a 4.6917
_cell_length_b 4.6917
_cell_length_c 4.4900
_cell_angle_alpha 90.00
_cell_angle_beta 90.00
_cell_angle_gamma 90.00
loop_
_atom_site_label
_atom_site_type_symbol
_atom_site_fract_x
_atom_site_fract_y
_atom_site_fract_z
Er1 Er 0.0000 0.5000 0.0000
Sc1 Sc 0.0000 0.0000 0.5000
Hg1 Hg 0.5000 0.5000 0.5000
O1 O 0.0000 0.0000 0.0000
```

## Properties
raw formation energy: -1417 meV/atom
size of the total moment: 0.0 μB per formula unit

***

Record 3
The following is a DFT calculation (GGA-PBE) of Ga3RuSe after structural relaxation.

```
data_Ga3RuSe
_space_group_name_H-M_alt 'P m -3 m'
_space_group_IT_number 221
_space_group_name_Hall '-P 4 2 3'
_cell_length_a 4.9419
_cell_length_b 4.9419
_cell_length_c 4.9419
_cell_angle_alpha 90.00
_cell_angle_beta 90.00
_cell_angle_gamma 90.00
loop_
_atom_site_label
_atom_site_type_symbol
_atom_site_fract_x
_atom_site_fract_y
_atom_site_fract_z
Ga1 Ga 0.0000 0.0000 0.5000
Ru1 Ru 0.5000 0.5000 0.5000
Se1 Se 0.0000 0.0000 0.0000
```

## Properties
raw formation energy: 1083 meV/atom
size of the total moment: 1.8 μB per formula unit

***

Q: Look up the size of the total moment of the third one.
A: 1.8 μB per formula unit

***

Q: The lowest size of the total moment belongs to which entry?
A: Er2ScHgO

***

Q: What is the size of the total moment in the third record?
A: 1.8 μB per formula unit

***

Q: What is the size of the total moment in the second record?
A: 0.0 μB per formula unit